Below is a relaxed structure of AcPm4Hg, with properties calculated at the GGA-PBE level.

The space group is P4/mmm (No. 123) and the conventional cell measures 3.762, 3.762 and 14.359 Å, with angles of 90.00, 90.00 and 90.00 degrees. The inequivalent atoms are Ac at (0.000, 0.000, 0.000), Pm at (0.000, 0.000, 0.363), Pm at (0.500, 0.500, 0.190) and Hg at (0.500, 0.500, 0.500).

Its volume is 33.9 A^3/atom. The spin magnetization is 0.00 μB per cell. Its formation energy is -0.14 eV per atom. The total energy comes out at -4.040 eV/atom.